1.
The following is a DFT calculation (PBE-GGA) of SrRuO4 after structural relaxation.

Unit cell a=5.496 b=5.107 c=7.166 alpha=110.87 beta=121.45 gamma=90.00
Last column: magnetic moment on the atom in μB.
Element x y z (fractional)
Sr: 0.750 0.793 0.000  0.01
Sr: 0.250 0.207 0.000  0.01
Ru: 0.500 0.000 0.500  0.45
Ru: 0.000 0.500 0.500  0.45
O: 0.764 0.502 0.206  0.09
O: 0.700 0.141 0.370  0.01
O: 0.264 0.704 0.206  0.09
O: 0.200 0.228 0.370  0.01
O: 0.300 0.859 0.630  0.01
O: 0.236 0.498 0.794  0.09
O: 0.800 0.772 0.630  0.01
O: 0.736 0.296 0.794  0.09

Output
Distance to the lowest polymorph of the same formula, eV/atom: 0.117
Total energy, eV/atom: -6.611
Energy relative to the elements, uncorrected, eV/atom: -1.4796

***

2.
The following is a DFT calculation (PBE-GGA) of SrRuO3 after structural relaxation.

Unit cell a=7.203 b=7.203 c=4.794 alpha=90.00 beta=90.00 gamma=147.64
Element x y z (fractional)
Ru: 0.454 0.546 0.250
Ru: 0.546 0.454 0.750
O: 0.070 0.401 0.250
O: 0.599 0.930 0.250
O: 0.401 0.070 0.750
O: 0.930 0.599 0.750
O: 0.000 0.000 0.000
O: 0.000 0.000 0.500
Sr: 0.160 0.840 0.250
Sr: 0.840 0.160 0.750

Output
Total energy, eV/atom: -6.069
Energy relative to the elements, uncorrected, eV/atom: -0.9028

***

3.
The following is a DFT calculation (PBE-GGA) of SrRu3O12 after structural relaxation.

Unit cell a=9.067 b=9.067 c=10.889 alpha=65.40 beta=65.40 gamma=60.00
Last column: magnetic moment on the atom in μB.
Element x y z (fractional)
Sr: 0.059 0.059 0.823  0.01
Sr: 0.559 0.559 0.323  0.01
Ru: 0.684 0.343 0.002  0.35
Ru: 0.184 0.470 0.502  0.35
Ru: 0.843 0.184 0.502  0.35
Ru: 0.343 0.970 0.002  0.35
Ru: 0.970 0.684 0.002  0.35
Ru: 0.470 0.843 0.502  0.35
O: 0.116 0.097 0.032  0.07
O: 0.190 0.280 0.640  0.05
O: 0.954 0.979 0.472  0.08
O: 0.842 0.397 0.851  0.07
O: 0.342 0.411 0.351  0.07
O: 0.454 0.095 0.972  0.08
O: 0.690 0.390 0.140  0.05
O: 0.979 0.595 0.472  0.08
O: 0.616 0.255 0.532  0.07
O: 0.890 0.190 0.640  0.05
O: 0.897 0.342 0.351  0.07
O: 0.255 0.597 0.532  0.07
O: 0.095 0.479 0.972  0.08
O: 0.755 0.116 0.032  0.07
O: 0.397 0.911 0.851  0.07
O: 0.390 0.780 0.140  0.05
O: 0.780 0.690 0.140  0.05
O: 0.479 0.454 0.972  0.08
O: 0.597 0.616 0.532  0.07
O: 0.911 0.842 0.851  0.07
O: 0.411 0.897 0.351  0.07
O: 0.097 0.755 0.032  0.07
O: 0.280 0.890 0.640  0.05
O: 0.595 0.954 0.472  0.08

Output
Total energy, eV/atom: -6.534
Energy relative to the elements, uncorrected, eV/atom: -0.9707

***

4.
The following is a DFT calculation (PBE-GGA) of SrRuO3 after structural relaxation.

Unit cell a=4.102 b=4.102 c=10.134 alpha=78.32 beta=78.32 gamma=90.00
Last column: magnetic moment on the atom in μB.
Element x y z (fractional)
Ru: 0.689 0.189 0.623  0.45
Ru: 0.811 0.311 0.377  0.47
O: 0.232 0.901 0.197  -0.06
O: 0.099 0.768 0.803  -0.07
O: 0.099 0.429 0.803  -0.07
O: 0.571 0.901 0.197  -0.06
O: 0.316 0.316 0.368  0.00
O: 0.684 0.684 0.632  0.00
Sr: 0.000 0.000 0.000  0.00
Sr: 0.250 0.750 0.500  0.00

Output
Total energy, eV/atom: -5.756
Energy relative to the elements, uncorrected, eV/atom: -0.5893

***

5.
The following is a DFT calculation (PBE-GGA) of SrRuO3 after structural relaxation.

Unit cell a=3.993 b=3.993 c=3.993 alpha=90.00 beta=90.00 gamma=90.00
Last column: magnetic moment on the atom in μB.
Element x y z (fractional)
Ru: 0.500 0.500 0.500  1.43
O: 0.500 0.000 0.500  0.12
O: 0.500 0.500 0.000  0.05
O: 0.000 0.500 0.500  0.32
Sr: 0.000 0.000 0.000  0.01

Output
Total energy, eV/atom: -6.898
Energy relative to the elements, uncorrected, eV/atom: -1.7316

***

6.
The following is a DFT calculation (PBE-GGA) of Sr3Ru2O7 after structural relaxation.

Unit cell a=3.914 b=4.008 c=10.943 alpha=100.55 beta=90.00 gamma=90.00
Last column: magnetic moment on the atom in μB.
Element x y z (fractional)
Sr: 0.500 0.500 0.000  0.01
Sr: 0.500 0.675 0.350  0.01
Sr: 0.500 0.325 0.650  0.01
Ru: 0.000 0.905 0.810  1.40
Ru: 0.000 0.095 0.190  1.40
O: 0.000 0.407 0.814  0.12
O: 0.000 0.812 0.623  0.08
O: 0.000 0.000 0.000  0.18
O: 0.000 0.593 0.186  0.12
O: 0.500 0.094 0.189  0.17
O: 0.500 0.906 0.811  0.17
O: 0.000 0.188 0.377  0.08

Output
Distance to the lowest polymorph of the same formula, eV/atom: 0.112
Total energy, eV/atom: -6.698
Energy relative to the elements, uncorrected, eV/atom: -1.8394

***

7.
The following is a DFT calculation (PBE-GGA) of SrRuO3 after structural relaxation.

Unit cell a=7.347 b=7.347 c=7.347 alpha=60.00 beta=60.00 gamma=60.00
Last column: magnetic moment on the atom in μB.
Element x y z (fractional)
Ru: 0.625 0.625 0.625  0.34
Ru: 0.625 0.125 0.625  0.42
Ru: 0.125 0.625 0.625  0.76
Ru: 0.625 0.625 0.125  0.35
O: 0.701 0.299 0.299  0.04
O: 0.951 0.549 0.549  0.05
O: 0.549 0.549 0.951  0.01
O: 0.549 0.951 0.951  0.04
O: 0.951 0.549 0.951  0.06
O: 0.701 0.299 0.701  0.04
O: 0.549 0.951 0.549  0.04
O: 0.951 0.951 0.549  0.05
O: 0.299 0.701 0.299  0.06
O: 0.299 0.701 0.701  0.05
O: 0.299 0.299 0.701  0.05
O: 0.701 0.701 0.299  0.01
Sr: 0.125 0.125 0.125  -0.04
Sr: 0.125 0.625 0.125  -0.04
Sr: 0.625 0.125 0.125  -0.03
Sr: 0.125 0.125 0.625  -0.04

Output
Total energy, eV/atom: -6.703
Energy relative to the elements, uncorrected, eV/atom: -1.5363

***

8.
The following is a DFT calculation (PBE-GGA) of SrRuO3 after structural relaxation.

Unit cell a=15.653 b=7.302 c=7.302 alpha=154.60 beta=152.26 gamma=27.74
Last column: magnetic moment on the atom in μB.
Element x y z (fractional)
Ru: 0.653 0.945 0.055  0.44
Ru: 0.347 0.055 0.945  0.44
O: 0.784 0.249 0.751  0.08
O: 0.216 0.751 0.249  0.08
O: 0.129 0.183 0.817  0.04
O: 0.871 0.817 0.183  0.04
O: 0.493 0.640 0.360  0.02
O: 0.507 0.360 0.640  0.02
Sr: 0.886 0.978 0.022  0.01
Sr: 0.114 0.022 0.978  0.01

Output
Total energy, eV/atom: -6.595
Energy relative to the elements, uncorrected, eV/atom: -1.4288

***

9.
The following is a DFT calculation (PBE-GGA) of Sr4Ru3O12 after structural relaxation.

Unit cell a=5.568 b=9.845 c=18.399 alpha=90.00 beta=90.00 gamma=90.00
Last column: magnetic moment on the atom in μB.
Element x y z (fractional)
Sr: 0.750 0.078 0.751  0.01
Sr: 0.750 0.753 0.490  0.00
Sr: 0.750 0.747 0.990  0.00
Sr: 0.750 0.114 0.142  0.01
Sr: 0.750 0.422 0.251  0.01
Sr: 0.750 0.069 0.365  0.00
Sr: 0.750 0.386 0.642  0.01
Sr: 0.750 0.431 0.865  0.00
Sr: 0.250 0.578 0.749  0.01
Sr: 0.250 0.247 0.510  0.00
Sr: 0.250 0.922 0.249  0.01
Sr: 0.250 0.253 0.010  0.00
Sr: 0.250 0.569 0.135  0.00
Sr: 0.250 0.614 0.358  0.01
Sr: 0.250 0.931 0.635  0.00
Sr: 0.250 0.886 0.858  0.01
Ru: 0.750 0.085 0.567  -1.30
Ru: 0.750 0.089 0.941  1.17
Ru: 0.750 0.749 0.687  1.37
Ru: 0.750 0.751 0.187  1.37
Ru: 0.750 0.415 0.067  -1.30
Ru: 0.750 0.411 0.441  1.17
Ru: 0.250 0.589 0.559  1.17
Ru: 0.250 0.585 0.933  -1.30
Ru: 0.250 0.911 0.059  1.17
Ru: 0.250 0.915 0.433  -1.30
Ru: 0.250 0.251 0.313  1.37
Ru: 0.250 0.249 0.813  1.37
O: 0.750 0.578 0.731  0.22
O: 0.750 0.922 0.626  -0.06
O: 0.750 0.945 0.875  0.23
O: 0.750 0.254 0.512  -0.01
O: 0.000 0.500 0.500  0.12
O: 0.000 0.000 0.000  0.12
O: 0.995 0.156 0.625  -0.11
O: 0.995 0.344 0.125  -0.11
O: 0.001 0.821 0.742  0.16
O: 0.001 0.679 0.242  0.16
O: 0.005 0.844 0.375  -0.11
O: 0.005 0.656 0.875  -0.11
O: 0.997 0.189 0.888  0.07
O: 0.997 0.311 0.388  0.07
O: 0.999 0.321 0.758  0.16
O: 0.999 0.179 0.258  0.16
O: 0.003 0.811 0.112  0.07
O: 0.003 0.689 0.612  0.07
O: 0.000 0.000 0.500  -0.12
O: 0.000 0.500 0.000  -0.12
O: 0.250 0.754 0.988  -0.01
O: 0.250 0.078 0.374  -0.06
O: 0.250 0.055 0.125  0.23
O: 0.250 0.422 0.269  0.22
O: 0.250 0.078 0.769  0.22
O: 0.250 0.445 0.625  0.23
O: 0.250 0.422 0.874  -0.06
O: 0.250 0.746 0.488  -0.01
O: 0.500 0.000 0.500  -0.12
O: 0.500 0.500 0.000  -0.12
O: 0.497 0.689 0.612  0.07
O: 0.497 0.811 0.112  0.07
O: 0.501 0.321 0.758  0.16
O: 0.501 0.179 0.258  0.16
O: 0.503 0.189 0.888  0.07
O: 0.503 0.311 0.388  0.07
O: 0.495 0.656 0.875  -0.11
O: 0.495 0.844 0.375  -0.11
O: 0.499 0.821 0.742  0.16
O: 0.499 0.679 0.242  0.16
O: 0.505 0.156 0.625  -0.11
O: 0.505 0.344 0.125  -0.11
O: 0.500 0.000 0.000  0.12
O: 0.500 0.500 0.500  0.12
O: 0.750 0.246 0.012  -0.01
O: 0.750 0.555 0.375  0.23
O: 0.750 0.578 0.126  -0.06
O: 0.750 0.922 0.231  0.22

Output
Total energy, eV/atom: -6.722
Energy relative to the elements, uncorrected, eV/atom: -1.7716

***

10.
The following is a DFT calculation (PBE-GGA) of SrRuO3 after structural relaxation.

Unit cell a=5.366 b=5.366 c=7.485 alpha=90.00 beta=90.00 gamma=144.64
Element x y z (fractional)
Sr: 0.750 0.250 0.250
Sr: 0.250 0.750 0.750
Ru: 0.000 0.000 0.500
Ru: 0.000 0.000 0.000
O: 0.058 0.942 0.250
O: 0.942 0.058 0.750
O: 0.380 0.620 0.046
O: 0.620 0.380 0.954
O: 0.380 0.620 0.454
O: 0.620 0.380 0.546

Output
Total energy, eV/atom: -6.895
Energy relative to the elements, uncorrected, eV/atom: -1.7289

***

11.
The following is a DFT calculation (PBE-GGA) of Sr2Ru3O10 after structural relaxation.

Unit cell a=5.764 b=7.750 c=9.618 alpha=111.58 beta=107.43 gamma=90.00
Last column: magnetic moment on the atom in μB.
Element x y z (fractional)
Sr: 0.709 0.313 0.419  0.00
Sr: 0.291 0.687 0.581  0.00
Sr: 0.606 0.723 0.211  0.00
Sr: 0.394 0.277 0.789  0.00
Ru: 0.916 0.514 0.832  0.81
Ru: 0.084 0.486 0.168  0.81
Ru: 0.816 0.972 0.631  -0.23
Ru: 0.184 0.028 0.369  -0.23
Ru: 0.766 0.000 0.000  -0.24
Ru: 0.234 0.000 0.000  -0.24
O: 0.646 0.973 0.777  0.01
O: 0.131 0.973 0.777  0.01
O: 0.354 0.027 0.223  0.01
O: 0.869 0.027 0.223  0.01
O: 0.610 0.528 0.709  0.15
O: 0.100 0.528 0.709  0.15
O: 0.390 0.472 0.291  0.15
O: 0.900 0.472 0.291  0.15
O: 0.972 0.794 0.945  -0.03
O: 0.028 0.206 0.055  -0.03
O: 0.867 0.251 0.734  0.04
O: 0.133 0.749 0.266  0.04
O: 0.765 0.718 0.531  -0.11
O: 0.235 0.282 0.469  -0.11
O: 0.482 0.833 0.964  -0.05
O: 0.518 0.167 0.036  -0.05
O: 0.782 0.500 0.000  0.04
O: 0.218 0.500 0.000  0.04
O: 0.500 0.000 0.500  0.00
O: 0.000 0.000 0.500  0.00

Output
Distance to the lowest polymorph of the same formula, eV/atom: 0.000
Total energy, eV/atom: -6.841
Energy relative to the elements, uncorrected, eV/atom: -1.4557

***

12.
The following is a DFT calculation (PBE-GGA) of Sr4Ru3O10 after structural relaxation.

Unit cell a=14.834 b=14.834 c=5.562 alpha=90.00 beta=90.00 gamma=158.39
Last column: magnetic moment on the atom in μB.
Element x y z (fractional)
Sr: 0.704 0.296 0.000  0.01
Sr: 0.204 0.796 0.500  0.01
Sr: 0.430 0.570 0.000  0.01
Sr: 0.070 0.930 0.500  0.01
Sr: 0.570 0.430 0.000  0.01
Sr: 0.296 0.704 0.000  0.01
Sr: 0.796 0.204 0.500  0.01
Sr: 0.930 0.070 0.500  0.01
Ru: 0.860 0.140 0.000  1.32
Ru: 0.640 0.360 0.500  1.32
Ru: 0.500 0.500 0.500  1.46
Ru: 0.140 0.860 0.000  1.32
Ru: 0.360 0.640 0.500  1.32
Ru: 0.000 0.000 0.000  1.46
O: 0.803 0.803 0.697  0.15
O: 0.569 0.847 0.792  0.16
O: 0.211 0.789 0.000  0.03
O: 0.431 0.153 0.208  0.16
O: 0.697 0.697 0.197  0.15
O: 0.153 0.431 0.208  0.16
O: 0.069 0.931 0.000  0.17
O: 0.289 0.711 0.500  0.03
O: 0.931 0.069 0.000  0.17
O: 0.303 0.303 0.803  0.15
O: 0.347 0.069 0.708  0.16
O: 0.789 0.211 0.000  0.03
O: 0.931 0.653 0.292  0.16
O: 0.069 0.347 0.708  0.16
O: 0.431 0.569 0.500  0.17
O: 0.197 0.197 0.303  0.15
O: 0.711 0.289 0.500  0.03
O: 0.653 0.931 0.292  0.16
O: 0.569 0.431 0.500  0.17
O: 0.847 0.569 0.792  0.16

Output
Distance to the lowest polymorph of the same formula, eV/atom: 0.000
Total energy, eV/atom: -6.848
Energy relative to the elements, uncorrected, eV/atom: -1.8985

***

13.
The following is a DFT calculation (PBE-GGA) of SrRuO3 after structural relaxation.

Unit cell a=13.645 b=5.780 c=5.780 alpha=140.50 beta=145.35 gamma=34.65
Element x y z (fractional)
Ru: 0.916 0.951 0.049
Ru: 0.084 0.049 0.951
O: 0.830 0.222 0.778
O: 0.170 0.778 0.222
O: 0.961 0.361 0.639
O: 0.039 0.639 0.361
O: 0.372 0.785 0.215
O: 0.628 0.215 0.785
Sr: 0.633 0.990 0.010
Sr: 0.367 0.010 0.990

Output
Total energy, eV/atom: -6.787
Energy relative to the elements, uncorrected, eV/atom: -1.6210

***

14.
The following is a DFT calculation (PBE-GGA) of SrRuO3 after structural relaxation.

Unit cell a=5.575 b=5.575 c=5.575 alpha=61.19 beta=61.19 gamma=61.19
Last column: magnetic moment on the atom in μB.
Element x y z (fractional)
Ru: 0.296 0.296 0.296  1.39
Ru: 0.796 0.796 0.796  1.38
O: 0.106 0.987 0.546  0.17
O: 0.487 0.606 0.046  0.17
O: 0.046 0.487 0.606  0.15
O: 0.606 0.046 0.487  0.13
O: 0.987 0.546 0.106  0.13
O: 0.546 0.106 0.987  0.15
Sr: 0.046 0.046 0.046  0.01
Sr: 0.546 0.546 0.546  0.01

Output
Total energy, eV/atom: -6.930
Energy relative to the elements, uncorrected, eV/atom: -1.7638

***

15.
The following is a DFT calculation (PBE-GGA) of SrRuO3 after structural relaxation.

Unit cell a=21.074 b=6.435 c=7.758 alpha=90.00 beta=162.72 gamma=90.00
Element x y z (fractional)
Ru: 0.092 0.360 0.593
Ru: 0.908 0.640 0.407
Ru: 0.408 0.860 0.907
Ru: 0.592 0.140 0.093
O: 0.270 0.962 0.772
O: 0.730 0.038 0.228
O: 0.230 0.462 0.728
O: 0.770 0.538 0.272
O: 0.359 0.254 0.363
O: 0.641 0.746 0.637
O: 0.141 0.754 0.137
O: 0.859 0.246 0.863
O: 0.556 0.846 0.057
O: 0.444 0.154 0.943
O: 0.944 0.346 0.443
O: 0.056 0.654 0.557
Sr: 0.440 0.749 0.441
Sr: 0.560 0.251 0.559
Sr: 0.060 0.249 0.059
Sr: 0.940 0.751 0.941

Output
Total energy, eV/atom: -6.766
Energy relative to the elements, uncorrected, eV/atom: -1.5994